1.
# Dy2GaGe3Rh4 GGA-PBE relaxed
# Raw total energy = -6.408 eV per atom
# Space group = P-4m2 (115)
# Formation energy = -0.8593 eV/atom
data_Dy2GaGe3Rh4
_chemical_formula_sum 'Dy2 Ga1 Ge3 Rh4'
_cell_length_a 4.194
_cell_length_b 4.194
_cell_length_c 10.158
_cell_angle_alpha 90.00
_cell_angle_beta 90.00
_cell_angle_gamma 90.00
_symmetry_space_group_name_H-M 'P 1'
_symmetry_Int_Tables_number 1
loop_
_symmetry_equiv_pos_as_xyz
'x,y,z'
loop_
_atom_site_label
_atom_site_type_symbol
_atom_site_fract_x
_atom_site_fract_y
_atom_site_fract_z
Ge1 Ge 0.000 0.500 0.131
Ge2 Ge 0.000 0.000 0.500
Rh1 Rh 0.500 0.500 0.000
Dy1 Dy 0.500 0.000 0.252
Dy2 Dy 0.000 0.500 0.748
Rh2 Rh 0.000 0.500 0.367
Rh3 Rh 0.000 0.000 0.000
Ge3 Ge 0.500 0.000 0.869
Ga1 Ga 0.500 0.500 0.500
Rh4 Rh 0.500 0.000 0.633

2.
# Dy2Ga2GeRu5 GGA-PBE relaxed
# Raw total energy = -6.979 eV per atom
# Space group = P4/mbm (127)
# Formation energy = -0.3535 eV/atom
data_Dy2Ga2GeRu5
_chemical_formula_sum 'Dy4 Ga4 Ge2 Ru10'
_cell_length_a 3.341
_cell_length_b 9.987
_cell_length_c 9.987
_cell_angle_alpha 90.00
_cell_angle_beta 90.00
_cell_angle_gamma 90.00
_symmetry_space_group_name_H-M 'P 1'
_symmetry_Int_Tables_number 1
loop_
_symmetry_equiv_pos_as_xyz
'x,y,z'
loop_
_atom_site_label
_atom_site_type_symbol
_atom_site_fract_x
_atom_site_fract_y
_atom_site_fract_z
Ru1 Ru 0.500 0.939 0.193
Ru2 Ru 0.500 0.500 0.000
Ru3 Ru 0.500 0.193 0.061
Ru4 Ru 0.500 0.807 0.939
Ge1 Ge 0.000 0.500 0.500
Dy1 Dy 0.000 0.170 0.330
Dy2 Dy 0.000 0.670 0.170
Dy3 Dy 0.000 0.830 0.670
Ru5 Ru 0.500 0.693 0.439
Ga1 Ga 0.000 0.130 0.630
Ga2 Ga 0.000 0.870 0.370
Ru6 Ru 0.500 0.307 0.561
Ru7 Ru 0.500 0.439 0.307
Ru8 Ru 0.500 0.561 0.693
Ga3 Ga 0.000 0.370 0.130
Dy4 Dy 0.000 0.330 0.830
Ga4 Ga 0.000 0.630 0.870
Ru9 Ru 0.500 0.000 0.500
Ru10 Ru 0.500 0.061 0.807
Ge2 Ge 0.000 0.000 0.000

3.
# DyGa2GeRu2 GGA-PBE relaxed
# Raw total energy = -5.812 eV per atom
# Space group = P4/mmm (123)
# Formation energy = -0.1747 eV/atom
data_DyGa2GeRu2
_chemical_formula_sum 'Dy1 Ga2 Ge1 Ru2'
_cell_length_a 4.544
_cell_length_b 4.544
_cell_length_c 5.586
_cell_angle_alpha 90.00
_cell_angle_beta 90.00
_cell_angle_gamma 90.00
_symmetry_space_group_name_H-M 'P 1'
_symmetry_Int_Tables_number 1
loop_
_symmetry_equiv_pos_as_xyz
'x,y,z'
loop_
_atom_site_label
_atom_site_type_symbol
_atom_site_fract_x
_atom_site_fract_y
_atom_site_fract_z
Ga1 Ga 0.500 0.500 0.269
Ru1 Ru 0.500 0.000 0.000
Ga2 Ga 0.500 0.500 0.731
Ge1 Ge 0.000 0.000 0.000
Ru2 Ru 0.000 0.500 0.000
Dy1 Dy 0.000 0.000 0.500

4.
# Dy6GaGe2Se3 GGA-PBE relaxed
# Raw total energy = -5.494 eV per atom
# Space group = C2/m (12)
# E_form (uncorrected) = -1.300 eV per atom
data_Dy6GaGe2Se3
_chemical_formula_sum 'Dy6 Ga1 Ge2 Se3'
_cell_length_a 4.113
_cell_length_b 8.314
_cell_length_c 9.318
_cell_angle_alpha 105.83
_cell_angle_beta 102.75
_cell_angle_gamma 90.00
_symmetry_space_group_name_H-M 'P 1'
_symmetry_Int_Tables_number 1
loop_
_symmetry_equiv_pos_as_xyz
'x,y,z'
loop_
_atom_site_label
_atom_site_type_symbol
_atom_site_fract_x
_atom_site_fract_y
_atom_site_fract_z
Dy1 Dy 0.333 0.913 0.666
Dy2 Dy 0.000 0.251 0.999
Dy3 Dy 0.670 0.573 0.340
Dy4 Dy 0.000 0.749 0.001
Se1 Se 0.500 0.500 0.000
Se2 Se 0.168 0.830 0.336
Dy5 Dy 0.667 0.087 0.334
Ga1 Ga 0.500 0.000 0.000
Ge1 Ge 0.836 0.672 0.671
Ge2 Ge 0.164 0.328 0.329
Se3 Se 0.832 0.170 0.664
Dy6 Dy 0.330 0.427 0.660

5.
# Dy4GaGeSe2 GGA-PBE relaxed
# Raw total energy = -5.392 eV per atom
# Space group = I-4m2 (119)
# E_form (uncorrected) = -1.264 eV per atom
data_Dy4GaGeSe2
_chemical_formula_sum 'Dy4 Ga1 Ge1 Se2'
_cell_length_a 5.820
_cell_length_b 5.820
_cell_length_c 7.150
_cell_angle_alpha 114.02
_cell_angle_beta 114.02
_cell_angle_gamma 90.00
_symmetry_space_group_name_H-M 'P 1'
_symmetry_Int_Tables_number 1
loop_
_symmetry_equiv_pos_as_xyz
'x,y,z'
loop_
_atom_site_label
_atom_site_type_symbol
_atom_site_fract_x
_atom_site_fract_y
_atom_site_fract_z
Se1 Se 0.250 0.750 0.500
Dy1 Dy 0.752 0.752 0.504
Dy2 Dy 0.999 0.499 0.997
Ga1 Ga 0.500 0.500 0.000
Dy3 Dy 0.501 0.001 0.003
Se2 Se 0.000 0.000 0.000
Dy4 Dy 0.248 0.248 0.496
Ge1 Ge 0.750 0.250 0.500

6.
# Dy6Ga2GeSe3 GGA-PBE relaxed
# Raw total energy = -5.323 eV per atom
# Space group = C2/m (12)
# E_form (uncorrected) = -1.261 eV per atom
data_Dy6Ga2GeSe3
_chemical_formula_sum 'Dy6 Ga2 Ge1 Se3'
_cell_length_a 4.108
_cell_length_b 8.254
_cell_length_c 9.635
_cell_angle_alpha 112.52
_cell_angle_beta 102.31
_cell_angle_gamma 90.00
_symmetry_space_group_name_H-M 'P 1'
_symmetry_Int_Tables_number 1
loop_
_symmetry_equiv_pos_as_xyz
'x,y,z'
loop_
_atom_site_label
_atom_site_type_symbol
_atom_site_fract_x
_atom_site_fract_y
_atom_site_fract_z
Ge1 Ge 0.500 0.000 0.000
Se1 Se 0.837 0.113 0.674
Se2 Se 0.163 0.887 0.326
Dy1 Dy 0.342 0.355 0.683
Ga1 Ga 0.199 0.431 0.398
Dy2 Dy 0.334 0.860 0.669
Ga2 Ga 0.801 0.569 0.602
Dy3 Dy 0.009 0.247 0.018
Se3 Se 0.500 0.500 0.000
Dy4 Dy 0.666 0.140 0.331
Dy5 Dy 0.991 0.753 0.982
Dy6 Dy 0.658 0.645 0.317

7.
# Dy8GaGe3Se4 GGA-PBE relaxed
# Raw total energy = -5.544 eV per atom
# Space group = R-3m (166)
# E_form (uncorrected) = -1.317 eV per atom
data_Dy8GaGe3Se4
_chemical_formula_sum 'Dy8 Ga1 Ge3 Se4'
_cell_length_a 8.187
_cell_length_b 8.340
_cell_length_c 8.187
_cell_angle_alpha 119.39
_cell_angle_beta 120.00
_cell_angle_gamma 90.00
_symmetry_space_group_name_H-M 'P 1'
_symmetry_Int_Tables_number 1
loop_
_symmetry_equiv_pos_as_xyz
'x,y,z'
loop_
_atom_site_label
_atom_site_type_symbol
_atom_site_fract_x
_atom_site_fract_y
_atom_site_fract_z
Dy1 Dy 0.249 0.744 0.499
Ge1 Ge 0.000 0.500 0.500
Se1 Se 0.000 0.000 0.500
Ga1 Ga 0.000 0.500 0.000
Dy2 Dy 0.255 0.264 0.509
Dy3 Dy 0.751 0.256 0.006
Dy4 Dy 0.249 0.744 0.994
Dy5 Dy 0.255 0.256 0.006
Se2 Se 0.000 0.000 0.000
Dy6 Dy 0.745 0.736 0.491
Se3 Se 0.500 0.000 0.000
Ge2 Ge 0.500 0.500 0.000
Dy7 Dy 0.751 0.256 0.501
Ge3 Ge 0.500 0.500 0.500
Dy8 Dy 0.745 0.744 0.994
Se4 Se 0.500 0.000 0.500

8.
# Dy2GaSiGe GGA-PBE relaxed
# Raw total energy = -4.990 eV per atom
# Space group = P2_1/m (11)
# E_form (uncorrected) = -0.535 eV per atom
data_Dy2GaSiGe
_chemical_formula_sum 'Dy4 Ga2 Si2 Ge2'
_cell_length_a 4.006
_cell_length_b 7.170
_cell_length_c 8.495
_cell_angle_alpha 109.15
_cell_angle_beta 90.00
_cell_angle_gamma 90.00
_symmetry_space_group_name_H-M 'P 1'
_symmetry_Int_Tables_number 1
loop_
_symmetry_equiv_pos_as_xyz
'x,y,z'
loop_
_atom_site_label
_atom_site_type_symbol
_atom_site_fract_x
_atom_site_fract_y
_atom_site_fract_z
Ge1 Ge 0.750 0.144 0.169
Dy1 Dy 0.750 0.736 0.031
Ge2 Ge 0.250 0.856 0.831
Dy2 Dy 0.250 0.264 0.969
Ga1 Ga 0.750 0.494 0.273
Dy3 Dy 0.750 0.834 0.588
Si1 Si 0.750 0.286 0.706
Dy4 Dy 0.250 0.166 0.412
Ga2 Ga 0.250 0.506 0.727
Si2 Si 0.250 0.714 0.294

9.
# SmDyGaGe GGA-PBE relaxed
# Raw total energy = -5.023 eV per atom
# Space group = Amm2 (38)
# Formation energy = -0.7811 eV/atom
data_SmDyGaGe
_chemical_formula_sum 'Sm1 Dy1 Ga1 Ge1'
_cell_length_a 4.371
_cell_length_b 4.039
_cell_length_c 5.890
_cell_angle_alpha 90.00
_cell_angle_beta 111.78
_cell_angle_gamma 90.00
_symmetry_space_group_name_H-M 'P 1'
_symmetry_Int_Tables_number 1
loop_
_symmetry_equiv_pos_as_xyz
'x,y,z'
loop_
_atom_site_label
_atom_site_type_symbol
_atom_site_fract_x
_atom_site_fract_y
_atom_site_fract_z
Sm1 Sm 0.141 0.000 0.281
Dy1 Dy 0.861 0.500 0.722
Ge1 Ge 0.421 0.000 0.842
Ga1 Ga 0.577 0.500 0.154

10.
# SmDyGaGe GGA-PBE relaxed
# Raw total energy = -4.817 eV per atom
# Space group = F-43m (216)
# Formation energy = -0.5759 eV/atom
data_SmDyGaGe
_chemical_formula_sum 'Sm1 Dy1 Ga1 Ge1'
_cell_length_a 5.108
_cell_length_b 5.108
_cell_length_c 5.108
_cell_angle_alpha 60.00
_cell_angle_beta 60.00
_cell_angle_gamma 60.00
_symmetry_space_group_name_H-M 'P 1'
_symmetry_Int_Tables_number 1
loop_
_symmetry_equiv_pos_as_xyz
'x,y,z'
loop_
_atom_site_label
_atom_site_type_symbol
_atom_site_fract_x
_atom_site_fract_y
_atom_site_fract_z
Ge1 Ge 0.500 0.500 0.500
Sm1 Sm 0.250 0.250 0.250
Ga1 Ga 0.000 0.000 0.000
Dy1 Dy 0.750 0.750 0.750

11.
# Tb2Dy2Ga4Ge GGA-PBE relaxed
# Raw total energy = -4.214 eV per atom
# Space group = I4/mmm (139)
# Formation energy = -0.3044 eV/atom
data_Tb2Dy2Ga4Ge
_chemical_formula_sum 'Tb2 Dy2 Ga4 Ge1'
_cell_length_a 6.629
_cell_length_b 6.629
_cell_length_c 6.629
_cell_angle_alpha 96.25
_cell_angle_beta 116.46
_cell_angle_gamma 116.46
_symmetry_space_group_name_H-M 'P 1'
_symmetry_Int_Tables_number 1
loop_
_symmetry_equiv_pos_as_xyz
'x,y,z'
loop_
_atom_site_label
_atom_site_type_symbol
_atom_site_fract_x
_atom_site_fract_y
_atom_site_fract_z
Dy1 Dy 0.000 0.305 0.305
Tb1 Tb 0.500 0.750 0.250
Ga1 Ga 0.000 0.746 0.254
Ga2 Ga 0.507 0.254 0.254
Ga3 Ga 0.000 0.254 0.746
Dy2 Dy 0.000 0.695 0.695
Tb2 Tb 0.500 0.250 0.750
Ga4 Ga 0.493 0.746 0.746
Ge1 Ge 0.000 0.000 0.000

12.
# DyGa2Tc2Ge GGA-PBE relaxed
# Raw total energy = -6.080 eV per atom
# Space group = P4/mmm (123)
# Formation energy = -0.0792 eV/atom
data_DyGa2Tc2Ge
_chemical_formula_sum 'Dy1 Ga2 Tc2 Ge1'
_cell_length_a 4.605
_cell_length_b 4.605
_cell_length_c 5.529
_cell_angle_alpha 90.00
_cell_angle_beta 90.00
_cell_angle_gamma 90.00
_symmetry_space_group_name_H-M 'P 1'
_symmetry_Int_Tables_number 1
loop_
_symmetry_equiv_pos_as_xyz
'x,y,z'
loop_
_atom_site_label
_atom_site_type_symbol
_atom_site_fract_x
_atom_site_fract_y
_atom_site_fract_z
Ga1 Ga 0.500 0.500 0.738
Ga2 Ga 0.500 0.500 0.262
Ge1 Ge 0.000 0.000 0.000
Dy1 Dy 0.000 0.000 0.500
Tc1 Tc 0.000 0.500 0.000
Tc2 Tc 0.500 0.000 0.000